# 1
Density functional theory data (PBE) for an optimized crystal structure of CsRbPdS2.

The formation energy without anion corrections comes out at -762 meV per atom.

It has space group Pmma (No. 51), with a = 5.9991 Å, b = 7.7290 Å, c = 6.8499 Å, α = 90.00°, β = 90.00° and γ = 90.00°. The inequivalent atoms are Cs at (0.2500, 0.0000, 0.2101), Rb at (0.2500, 0.5000, 0.4091), Pd at (0.0000, 0.5000, 0.0000) and S at (0.2500, 0.2961, 0.8447).

# 2
Density functional theory data (PBE) for an optimized crystal structure of LaMg2Co.

The calculation puts the calculated formation energy at 0.02 eV/atom.

It has space group Immm (No. 71), with a = 3.1615 Å, b = 4.8153 Å, c = 11.6510 Å, α = 90.00°, β = 90.00° and γ = 90.00°. The inequivalent atoms are La at (0.0000, 0.0000, 0.0000), Mg at (0.0000, 0.5000, 0.1946) and Co at (0.0000, 0.0000, 0.5000).

# 3
Density functional theory data (PBE) for an optimized crystal structure of BeCdSb.

The formation energy without anion corrections comes out at 452 meV per atom.

It has space group Fmm2 (No. 42), with a = 3.9060 Å, b = 5.2872 Å, c = 12.2293 Å, α = 90.00°, β = 90.00° and γ = 90.00°. The inequivalent atoms are Be at (0.0000, 0.0000, 0.0000), Cd at (0.0000, 0.0000, 0.6438) and Sb at (0.0000, 0.0000, 0.3717).

| no. | mass density (g/cm³) | total energy (eV/atom) |
| --- | --- | --- |
| 1 | 4.1 | -3.8154 |
| 2 | 4.6 | -3.7890 |
| 3 | 6.4 | -2.4696 |